A geometry-optimized Ba2LiCeS4 structure. Source: Alexandria, functional PBE.

Values from the calculation:
ΔE_f (raw) = -1.8184 eV per atom
E_tot = -42.75 eV/cell
SG = P2/m

Cell: 7.3375 4.3327 7.4402 Å, 90.00 108.94 90.00°
Closest atoms and distances in Å follow each position.
Fractional positions:
Ba (0.0000, 0.0000, 0.0000)  6 S 3.19
Ba (0.5000, 0.5000, 0.0000)  6 S 3.13-3.14
Li (0.0000, 0.5000, 0.5000)  6 S 2.90-2.97
Ce (0.5000, 0.0000, 0.5000)  6 S 2.83-2.92
S (0.2516, 0.0000, 0.7215)  1 Ce 2.83, 2 Li 2.97, 2 Ba 3.14
S (0.2628, 0.5000, 0.2818)  1 Li 2.90, 2 Ce 2.92, 3 Ba 3.13-3.19
S (0.7372, 0.5000, 0.7182)  1 Li 2.90, 2 Ce 2.92, 3 Ba 3.13-3.19
S (0.7484, 0.0000, 0.2785)  1 Ce 2.83, 2 Li 2.97, 2 Ba 3.14

A geometry-optimized BaZn2Fe structure. Source: Alexandria, functional PBE.

Values from the calculation:
E_tot = -12.53 eV/cell
energy of formation = 100 meV/atom
SG = Cm

Cell: 4.3876 4.3876 6.3374 Å, 110.42 110.42 60.17°
Closest atoms and distances in Å follow each position.
Fractional positions:
Ba (0.0000, 0.0000, 0.0000)  4 Fe 3.24-3.60, 4 Zn 3.24-3.60
Zn (0.1865, 0.1865, 0.5594)  3 Zn 2.58, 3 Fe 2.62-2.63
Zn (0.4915, 0.4915, 0.4746)  3 Fe 2.54, 3 Zn 2.58
Fe (0.8135, 0.8135, 0.4407)  6 Zn 2.54-2.63

A geometry-optimized TbMg3Zn8 structure. Source: Alexandria, functional PBE.

Values from the calculation:
energy relative to the lowest polymorph listed for this composition = 0 meV/atom
E_tot = -21.88 eV/cell
energy of formation = -190 meV/atom
SG = P3m1

Cell: 5.2239 5.2239 8.8722 Å, 90.00 90.00 120.00°
Closest atoms and distances in Å follow each position.
Fractional positions:
Tb (0.0000, 0.0000, 0.0000)  12 Zn 3.06-3.16, 4 Mg 3.25-3.33
Mg (0.0000, 0.0000, 0.3749)  12 Zn 3.04-3.12, 3 Mg 3.21, 1 Tb 3.33
Mg (0.6667, 0.3333, 0.5002)  12 Zn 3.05-3.08, 4 Mg 3.21-3.22
Mg (0.6667, 0.3333, 0.8625)  12 Zn 3.05-3.33, 1 Mg 3.22, 3 Tb 3.25
Zn (0.1636, 0.3272, 0.6850)  6 Zn 2.56-2.74
Zn (0.1636, 0.8364, 0.6850)  6 Zn 2.56-2.74
Zn (0.3333, 0.6667, 0.4472)  6 Zn 2.61-2.68
Zn (0.3333, 0.6667, 0.9409)  6 Zn 2.74-2.75, 3 Tb 3.06
Zn (0.5022, 0.0044, 0.1987)  6 Zn 2.58-2.75
Zn (0.5022, 0.4978, 0.1987)  6 Zn 2.58-2.75
Zn (0.6728, 0.8364, 0.6850)  6 Zn 2.56-2.74
Zn (0.9956, 0.4978, 0.1987)  6 Zn 2.58-2.75

A geometry-optimized ThGa3Os structure. Source: Alexandria, functional PBE.

Values from the calculation:
energy relative to the lowest polymorph listed for this composition = 0 meV/atom
E_tot = -29.58 eV/cell
energy of formation = -369 meV/atom
SG = Cm

Cell: 4.2296 4.2296 6.1612 Å, 108.93 108.93 89.92°
Closest atoms and distances in Å follow each position.
Fractional positions:
Th (0.0000, 0.0000, 0.0000)  3 Os 3.09-3.29, 10 Ga 3.18-3.45
Ga (0.2308, 0.7254, 0.4935)  2 Os 2.54-2.55, 2 Ga 2.66-2.67
Ga (0.5929, 0.5929, 0.1968)  1 Os 2.45, 4 Ga 2.66-2.67
Ga (0.7254, 0.2308, 0.4935)  2 Os 2.54-2.55, 2 Ga 2.66-2.67
Os (0.3459, 0.3459, 0.7517)  5 Ga 2.45-2.55

A geometry-optimized FeBSCl2 structure. Source: Alexandria, functional PBE.

Values from the calculation:
energy relative to the lowest polymorph listed for this composition = 0 meV/atom
ΔE_f (raw) = 0.6674 eV per atom
E_tot = -19.62 eV/cell
SG = P4/mmm

Cell: 4.2436 4.2436 4.4638 Å, 90.00 90.00 90.00°
Closest atoms and distances in Å follow each position.
Fractional positions:
Fe (0.0000, 0.0000, 0.0000)  4 S 3.00, 8 Cl 3.08
B (0.5000, 0.5000, 0.5000)  4 Cl 2.12, 2 S 2.23
S (0.5000, 0.5000, 0.0000)  2 B 2.23
Cl (0.0000, 0.5000, 0.5000)  2 B 2.12
Cl (0.5000, 0.0000, 0.5000)  2 B 2.12

A geometry-optimized AcAsRu2N structure. Source: Alexandria, functional PBE.

Values from the calculation:
ΔE_f (raw) = -0.5855 eV per atom
E_tot = -77.13 eV/cell
SG = Cmcm

Cell: 6.0868 6.0868 7.4273 Å, 90.00 90.00 141.31°
Closest atoms and distances in Å follow each position.
Fractional positions:
Ac (0.0478, 0.9522, 0.7500)  4 N 2.80
Ac (0.9522, 0.0478, 0.2500)  4 N 2.80
As (0.2285, 0.7715, 0.2500)  6 Ru 2.57-2.60
As (0.7715, 0.2285, 0.7500)  6 Ru 2.57-2.60
Ru (0.3365, 0.6635, 0.5531)  1 N 1.92
Ru (0.3365, 0.6635, 0.9469)  1 N 1.92
Ru (0.6635, 0.3365, 0.0531)  1 N 1.92
Ru (0.6635, 0.3365, 0.4469)  1 N 1.92
N (0.5000, 0.5000, 0.0000)  2 Ru 1.92
N (0.5000, 0.5000, 0.5000)  2 Ru 1.92

A geometry-optimized PaB2Se8 structure. Source: Alexandria, functional PBE.

Values from the calculation:
ΔE_f (raw) = -0.2758 eV per atom
E_tot = -53.76 eV/cell
SG = C2/m

Cell: 8.0071 8.0071 6.9435 Å, 106.44 106.44 99.45°
Closest atoms and distances in Å follow each position.
Fractional positions:
Pa (0.0000, 0.0000, 0.0000)  6 Se 2.77-2.85, 2 B 2.95
B (0.1741, 0.1741, 0.7582)  3 Se 1.95-2.03
B (0.8259, 0.8259, 0.2418)  3 Se 1.95-2.03
Se (0.0345, 0.7459, 0.1994)  1 B 1.95
Se (0.2541, 0.9655, 0.8006)  1 B 1.95
Se (0.2836, 0.2836, 0.3393)  1 Se 2.34
Se (0.3535, 0.3535, 0.7084)  1 B 2.03
Se (0.6465, 0.6465, 0.2915)  1 B 2.03
Se (0.7164, 0.7164, 0.6607)  1 Se 2.34
Se (0.7459, 0.0345, 0.1994)  1 B 1.95
Se (0.9655, 0.2541, 0.8006)  1 B 1.95

A geometry-optimized MgTiI2 structure. Source: Alexandria, functional PBE.

Values from the calculation:
energy relative to the lowest polymorph listed for this composition = 173 meV/atom
ΔE_f (raw) = 0.0622 eV per atom
E_tot = -12.34 eV/cell
SG = Fm-3m

Cell: 5.2507 5.2507 5.2507 Å, 60.00 60.00 60.00°
Closest atoms and distances in Å follow each position.
Fractional positions:
Mg (0.0000, 0.0000, 0.0000)  8 I 3.22
Ti (0.5000, 0.5000, 0.5000)  8 I 3.22
I (0.2500, 0.2500, 0.2500)  4 Mg 3.22, 4 Ti 3.22
I (0.7500, 0.7500, 0.7500)  4 Ti 3.22, 4 Mg 3.22

We obtain total moment values of 1.0, 2.3, 0.0, 0.0, 3.9, 0.0, 0.0, 2.1 Bohr magnetons per cell for the records listed above, in that order.